## A
5
Lattice="4.514 0.000 0.000 0.000 4.514 0.000 0.000 0.000 4.514" Properties=species:S:1:pos:R:3 comment="PBE AlOs3Pb, relaxed" density_g_cm3=14.53 spacegroup="Pm-3m (221)" pbc="T T T"
Os 0.000 0.000 2.257
Os 0.000 2.257 0.000
Al 0.000 0.000 0.000
Os 2.257 0.000 0.000
Pb 2.257 2.257 2.257

=====

## B
5
Lattice="4.916 0.000 0.000 0.000 4.916 0.000 0.000 0.000 4.916" Properties=species:S:1:pos:R:3 comment="PBE AlOs3Pb, relaxed" density_g_cm3=11.25 spacegroup="Pm-3m (221)" pbc="T T T"
Os 2.458 0.000 0.000
Pb 0.000 0.000 0.000
Os 0.000 0.000 2.458
Os 0.000 2.458 0.000
Al 2.458 2.458 2.458

=====

Quick one: most stable of them? A

=====

## A
5
Lattice="-0.827 2.317 -4.023 2.541 -3.194 -2.362 -3.885 -2.582 -0.689" Properties=species:S:1:pos:R:3 comment="PBE AlOs3Pd, relaxed" density_g_cm3=11.15 spacegroup="Pm-3m (221)" pbc="T T T"
Os 1.271 -1.597 -1.181
Al -1.085 -1.729 -3.537
Os -1.943 -1.291 -0.344
Pd 0.000 0.000 0.000
Os -0.413 1.159 -2.011

=====

## B
5
Lattice="4.393 0.000 0.000 0.000 4.393 0.000 0.000 0.000 4.393" Properties=species:S:1:pos:R:3 comment="PBE AlOs3Pd, relaxed" density_g_cm3=13.79 spacegroup="Pm-3m (221)" pbc="T T T"
Os 0.000 0.000 2.196
Os 0.000 2.196 0.000
Os 2.196 0.000 0.000
Pd 2.196 2.196 2.196
Al 0.000 0.000 0.000

=====

Quick one: most stable of them? B